Compound: PuPaZnBi
Source: the Alexandria database
Functional: PBE
Structure: optimized geometry

a = 7.4738 Å, b = 7.4738 Å, c = 7.4738 Å
α = 90.00°, β = 90.00°, γ = 90.00°
Atoms (fractional coordinates):
Pu 0.0000 0.0000 0.0000
Pu 0.0000 0.5000 0.5000
Pu 0.5000 0.0000 0.5000
Pu 0.5000 0.5000 0.0000
Pa 0.0000 0.0000 0.5000
Pa 0.0000 0.5000 0.0000
Pa 0.5000 0.0000 0.0000
Pa 0.5000 0.5000 0.5000
Zn 0.2500 0.2500 0.7500
Zn 0.2500 0.7500 0.2500
Zn 0.7500 0.2500 0.2500
Zn 0.7500 0.7500 0.7500
Bi 0.2500 0.2500 0.2500
Bi 0.2500 0.7500 0.7500
Bi 0.7500 0.2500 0.7500
Bi 0.7500 0.7500 0.2500

Formation enthalpy at 0 K: 1.094 kcal/mol of atoms

Compound: In2SbH
Source: the Alexandria database
Functional: PBE
Structure: optimized geometry

a = 7.1570 Å, b = 7.1570 Å, c = 7.1570 Å
α = 90.00°, β = 90.00°, γ = 90.00°
Atoms (fractional coordinates):
In 0.2500 0.2500 0.2500
In 0.2500 0.2500 0.7500
In 0.2500 0.7500 0.2500
In 0.2500 0.7500 0.7500
In 0.7500 0.2500 0.2500
In 0.7500 0.2500 0.7500
In 0.7500 0.7500 0.2500
In 0.7500 0.7500 0.7500
Sb 0.0000 0.0000 0.0000
Sb 0.0000 0.5000 0.5000
Sb 0.5000 0.0000 0.5000
Sb 0.5000 0.5000 0.0000
H 0.0000 0.0000 0.5000
H 0.0000 0.5000 0.0000
H 0.5000 0.0000 0.0000
H 0.5000 0.5000 0.5000

Energy relative to the lowest polymorph listed for this composition: 112 meV per atom

Compound: ZnReF2
Source: the Alexandria database
Functional: PBE
Structure: optimized geometry

a = 2.6238 Å, b = 2.6238 Å, c = 24.5166 Å
α = 90.00°, β = 90.00°, γ = 120.00°
Atoms (fractional coordinates):
Zn 0.0000 0.0000 0.0000
Zn 0.3333 0.6667 0.6667
Zn 0.6667 0.3333 0.3333
Re 0.0000 0.0000 0.5000
Re 0.3333 0.6667 0.1667
Re 0.6667 0.3333 0.8333
F 0.0000 0.0000 0.0899
F 0.0000 0.0000 0.9101
F 0.3333 0.6667 0.5768
F 0.3333 0.6667 0.7565
F 0.6667 0.3333 0.2435
F 0.6667 0.3333 0.4232

Energy relative to the lowest polymorph listed for this composition: 532 meV per atom
Formation energy without anion corrections: -0.50 eV/atom